BaBe2Re, relaxed, DFT PBE; mass density = 7.7 Mg/m³; formation energy = 0.49 eV per atom; space group = Amm2; total magnetic moment = 0.00 μB per formula unit; polymorph energy (0 for the lowest one) = 0.29 eV per formula unit
1.0
3.3820 0.0000 0.0000
0.0000 1.6988 6.4492
0.0000 -1.6988 6.4492
Ba Be Re
1 2 1
Direct
0.0000 0.0000 0.0000
0.0000 0.2342 0.2342
0.5000 0.3324 0.3324
0.5000 0.7181 0.7181

KIn2PbAu2, relaxed, DFT PBE; mass density = 8.5 Mg/m³; formation energy = -0.20 eV per atom; space group = P-3m1; total magnetic moment = 0.00 μB per formula unit
1.0
4.9059 0.0000 0.0000
-2.4530 4.2487 0.0000
0.0000 0.0000 8.1591
K In Pb Au
1 2 1 2
Direct
0.0000 0.0000 0.0000
0.3333 0.6667 0.7176
0.6667 0.3333 0.2824
0.0000 0.0000 0.5000
0.3333 0.6667 0.3053
0.6667 0.3333 0.6947

HgPd2Pt9, relaxed, DFT PBE; mass density = 18.8 Mg/m³; formation energy = 0.00 eV per atom; space group = P4/mmm; total magnetic moment = 0.00 μB per formula unit
1.0
3.9845 0.0000 0.0000
0.0000 3.9845 0.0000
0.0000 0.0000 12.0674
Hg Pd Pt
1 2 9
Direct
0.0000 0.0000 0.0000
0.0000 0.0000 0.3368
0.0000 0.0000 0.6632
0.0000 0.5000 0.1738
0.0000 0.5000 0.5000
0.0000 0.5000 0.8262
0.5000 0.0000 0.1738
0.5000 0.0000 0.5000
0.5000 0.0000 0.8262
0.5000 0.5000 0.0000
0.5000 0.5000 0.3365
0.5000 0.5000 0.6635

La2PrNdTm, relaxed, DFT PBE; mass density = 6.8 Mg/m³; formation energy = 0.03 eV per atom; space group = P2_1/m; total magnetic moment = 0.00 μB per formula unit
1.0
6.4452 0.0000 0.0000
0.0000 5.9128 0.0000
-3.2092 0.0000 9.3239
La Pr Nd Tm
4 2 2 2
Direct
0.0367 0.2500 0.4003
0.2333 0.2500 0.8044
0.7667 0.7500 0.1956
0.9633 0.7500 0.5997
0.4290 0.2500 0.1942
0.5710 0.7500 0.8058
0.3641 0.7500 0.3982
0.6359 0.2500 0.6018
0.1610 0.7500 0.9997
0.8390 0.2500 0.0003

PrPaBiN2, relaxed, DFT PBE; formation energy without anion corrections = -1.36 eV/atom; mass density = 9.1 Mg/m³; space group = I4mm; total magnetic moment = 0.00 μB per formula unit
1.0
-2.0046 2.0046 6.9368
2.0046 -2.0046 6.9368
2.0046 2.0046 -6.9368
Pr Pa Bi N
1 1 1 2
Direct
0.0000 0.0000 0.0000
0.3370 0.3370 0.0000
0.6697 0.6697 0.0000
0.4027 0.9027 0.5000
0.9027 0.4027 0.5000

RbTl4Ge2, relaxed, DFT PBE; mass density = 8.0 Mg/m³; formation energy = 0.03 eV per atom; space group = Cmmm; total magnetic moment = 0.00 μB per formula unit
1.0
2.7156 -7.9621 0.0000
2.7156 7.9621 0.0000
0.0000 0.0000 5.0368
Rb Tl Ge
1 4 2
Direct
0.0000 0.0000 0.0000
0.1777 0.8223 0.5000
0.3172 0.6828 0.0000
0.6828 0.3172 0.0000
0.8223 0.1777 0.5000
0.4203 0.5797 0.5000
0.5797 0.4203 0.5000

Na3CdC, relaxed, DFT PBE; mass density = 2.6 Mg/m³; formation energy = 0.75 eV per atom; space group = Pm-3m; total magnetic moment = 1.01 μB per formula unit; polymorph energy (0 for the lowest one) = 0.00 eV per formula unit
1.0
5.0064 0.0000 0.0000
0.0000 5.0064 0.0000
0.0000 0.0000 5.0064
Na Cd C
3 1 1
Direct
0.0000 0.0000 0.5000
0.0000 0.5000 0.0000
0.5000 0.0000 0.0000
0.5000 0.5000 0.5000
0.0000 0.0000 0.0000

CuMoPb2, relaxed, DFT PBE; mass density = 11.8 Mg/m³; formation energy = 0.65 eV per atom; space group = P4/mmm; total magnetic moment = 0.00 μB per formula unit; polymorph energy (0 for the lowest one) = 0.86 eV per formula unit
1.0
4.8423 0.0000 0.0000
0.0000 4.8423 0.0000
0.0000 0.0000 3.4508
Cu Mo Pb
1 1 2
Direct
0.0000 0.0000 0.0000
0.5000 0.5000 0.0000
0.0000 0.5000 0.5000
0.5000 0.0000 0.5000

Tm4Bi3Te, relaxed, DFT PBE; formation energy without anion corrections = -0.90 eV/atom; mass density = 9.9 Mg/m³; space group = I4/mmm; total magnetic moment = 0.00 μB per formula unit; polymorph energy (0 for the lowest one) = 0.03 eV per formula unit
1.0
-3.1130 3.1130 6.2198
3.1130 -3.1130 6.2198
3.1130 3.1130 -6.2198
Tm Bi Te
4 3 1
Direct
0.0000 0.5000 0.5000
0.2490 0.2490 0.0000
0.5000 0.0000 0.5000
0.7510 0.7510 0.0000
0.0000 0.0000 0.0000
0.2500 0.7500 0.5000
0.7500 0.2500 0.5000
0.5000 0.5000 0.0000

Sm2PuAs, relaxed, DFT PBE; mass density = 7.8 Mg/m³; formation energy = -0.26 eV per atom; space group = R-3m; total magnetic moment = 6.41 μB per formula unit
1.0
1.9180 1.1074 10.3778
-1.9180 1.1074 10.3778
0.0000 -2.2148 10.3778
Sm Pu As
2 1 1
Direct
0.1094 0.1094 0.1094
0.8906 0.8906 0.8906
0.0000 0.0000 0.0000
0.5000 0.5000 0.5000

TcO2F, relaxed, DFT PBE; formation energy without anion corrections = -0.49 eV/atom; mass density = 7.2 Mg/m³; space group = Fm-3m; total magnetic moment = 2.00 μB per formula unit; polymorph energy (0 for the lowest one) = 4.62 eV per formula unit
1.0
0.0000 2.5798 2.5798
2.5798 0.0000 2.5798
2.5798 2.5798 0.0000
Tc O F
1 2 1
Direct
0.0000 0.0000 0.0000
0.2500 0.2500 0.2500
0.7500 0.7500 0.7500
0.5000 0.5000 0.5000

Ac2CeTmSe6, relaxed, DFT PBE; formation energy without anion corrections = -1.89 eV/atom; mass density = 6.2 Mg/m³; space group = R3; total magnetic moment = 1.00 μB per formula unit
1.0
3.8095 2.1994 6.5743
-3.8095 2.1994 6.5743
0.0000 -4.3988 6.5743
Ac Ce Tm Se
2 1 1 6
Direct
0.0000 0.0000 0.0000
0.4987 0.4987 0.4987
0.2090 0.2090 0.2090
0.7071 0.7071 0.7071
0.0676 0.4328 0.8344
0.3430 0.9178 0.5817
0.4328 0.8344 0.0676
0.5817 0.3430 0.9178
0.8344 0.0676 0.4328
0.9178 0.5817 0.3430